[1]
Density functional theory data (PBE-GGA) for crystalline Na2LaNbIn at its relaxed geometry.

a = 5.768 Å, b = 5.287 Å, c = 5.768 Å
α = 90.00°, β = 90.00°, γ = 90.00°
Site moments in Bohr magnetons follow the coordinates.
Atoms (fractional coordinates):
Na 0.500 0.000 0.000  0.03
Na 0.000 0.000 0.500  0.01
La 0.000 0.500 0.000  0.11
In 0.500 0.500 0.500  -0.05
Nb 0.000 0.000 0.000  1.52

Calculated values
Total magnetization in μB/cell: 1.91
Electronic total energy in eV per atom: -3.17
DFT formation energy in eV per atom: 0.907
Space group: No. 123

[2]
Density functional theory data (PBE-GGA) for crystalline NaLaNdIn at its relaxed geometry.

a = 5.604 Å, b = 5.604 Å, c = 5.604 Å
α = 60.00°, β = 60.00°, γ = 60.00°
Atoms (fractional coordinates):
La 0.750 0.750 0.750
Na 0.000 0.000 0.000
In 0.500 0.500 0.500
Nd 0.250 0.250 0.250

Calculated values
Total magnetization in μB/cell: 0.00
Electronic total energy in eV per atom: -3.61
DFT formation energy in eV per atom: -0.173
Space group: No. 216

[3]
Density functional theory data (PBE-GGA) for crystalline NaLaIn2Ni at its relaxed geometry.

a = 5.148 Å, b = 5.638 Å, c = 5.148 Å
α = 90.00°, β = 90.00°, γ = 90.00°
Atoms (fractional coordinates):
In 0.500 0.000 0.000
In 0.000 0.000 0.500
Ni 0.500 0.500 0.500
La 0.000 0.500 0.000
Na 0.000 0.000 0.000

Calculated values
Total magnetization in μB/cell: 0.00
Electronic total energy in eV per atom: -2.62
DFT formation energy in eV per atom: 0.884
Energy above the lowest structure with this stoichiometry in kJ/mol of formula units: 539.1
Space group: No. 123

[4]
Density functional theory data (PBE-GGA) for crystalline NaLaIn2Ni at its relaxed geometry.

a = 5.172 Å, b = 5.172 Å, c = 5.063 Å
α = 90.00°, β = 90.00°, γ = 90.00°
Atoms (fractional coordinates):
In 0.500 0.000 0.000
In 0.000 0.500 0.000
La 0.000 0.000 0.500
Na 0.500 0.500 0.500
Ni 0.000 0.000 0.000

Calculated values
Total magnetization in μB/cell: 0.00
Electronic total energy in eV per atom: -3.73
DFT formation energy in eV per atom: -0.233
Energy above the lowest structure with this stoichiometry in kJ/mol of formula units: 0.0
Space group: No. 123

[5]
Density functional theory data (PBE-GGA) for crystalline NaLa2InO at its relaxed geometry.

a = 5.032 Å, b = 5.032 Å, c = 4.888 Å
α = 90.00°, β = 90.00°, γ = 90.00°
Atoms (fractional coordinates):
O 0.000 0.000 0.000
In 0.500 0.500 0.500
La 0.000 0.500 0.000
La 0.500 0.000 0.000
Na 0.000 0.000 0.500

Calculated values
Total magnetization in μB/cell: 0.00
Electronic total energy in eV per atom: -5.07
Energy above the lowest structure with this stoichiometry in kJ/mol of formula units: 0.0
Space group: No. 123
Uncorrected formation energy in meV per atom: -1295

[6]
Density functional theory data (PBE-GGA) for crystalline Na2LaInO4 at its relaxed geometry.

a = 3.544 Å, b = 6.247 Å, c = 11.380 Å
α = 90.00°, β = 90.00°, γ = 106.48°
Atoms (fractional coordinates):
Na 0.619 0.237 0.023
Na 0.381 0.763 0.523
Na 0.619 0.237 0.477
Na 0.381 0.763 0.977
O 0.532 0.065 0.250
O 0.730 0.460 0.636
O 0.270 0.540 0.364
O 0.000 0.000 0.000
O 0.000 0.000 0.500
O 0.730 0.460 0.864
O 0.270 0.540 0.136
O 0.468 0.935 0.750
In 0.132 0.264 0.250
In 0.868 0.736 0.750
La 0.132 0.264 0.750
La 0.868 0.736 0.250

Calculated values
Total magnetization in μB/cell: 0.00
Electronic total energy in eV per atom: -5.55
Space group: No. 63
Uncorrected formation energy in meV per atom: -1785